# Ac3CdPb2 PBE-GGA optimized geometry
data_Ac3CdPb2
_symmetry_space_group_name_H-M 'C 1 2/c 1'
_symmetry_Int_Tables_number 15
_cell_length_a 17.9055
_cell_length_b 6.9826
_cell_length_c 7.0011
_cell_angle_alpha 90.00
_cell_angle_beta 103.79
_cell_angle_gamma 90.00
loop_
_symmetry_equiv_pos_as_xyz
'x,y,z'
'-x,-y,-z'
'-x,y,-z+1/2'
'x,-y,z+1/2'
'x+1/2,y+1/2,z'
'-x+1/2,-y+1/2,-z'
'-x+1/2,y+1/2,-z+1/2'
'x+1/2,-y+1/2,z+1/2'
loop_
_atom_site_label
_atom_site_type_symbol
_atom_site_fract_x
_atom_site_fract_y
_atom_site_fract_z
Ac1 Ac 0.0000 0.1586 0.2500
Ac2 Ac 0.1736 0.3919 0.6119
Cd1 Cd 0.0000 0.3538 0.7500
Pb1 Pb 0.1559 0.1032 0.0386
# Calculated formation energy (eV/atom): -0.379
# Size of the total moment (μB/f.u.): 0.00
# Energy (eV per atom): -3.8221
# Calculated volume (Å³ per atom): 35.421

# AcCdPb3 PBE-GGA optimized geometry
data_AcCdPb3
_symmetry_space_group_name_H-M 'C m m m'
_symmetry_Int_Tables_number 65
_symmetry_space_group_name_Hall '-C 2 2'
_cell_length_a 4.9469
_cell_length_b 29.4837
_cell_length_c 4.6320
_cell_angle_alpha 90.00
_cell_angle_beta 90.00
_cell_angle_gamma 90.00
loop_
_atom_site_label
_atom_site_type_symbol
_atom_site_fract_x
_atom_site_fract_y
_atom_site_fract_z
Ac1 Ac 0.0000 0.1752 0.0000
Cd1 Cd 0.0000 0.3759 0.5000
Pb1 Pb 0.0000 0.0609 0.5000
Pb2 Pb 0.0000 0.2788 0.5000
Pb3 Pb 0.0000 0.4425 0.0000
# Calculated formation energy (eV/atom): -0.155
# Size of the total moment (μB/f.u.): 0.00
# Energy (eV per atom): -3.3848
# Calculated volume (Å³ per atom): 33.779

# Ac3Cd2Pd6Pb PBE-GGA optimized geometry
data_Ac3Cd2Pd6Pb
_symmetry_space_group_name_H-M 'P -3 m 1'
_symmetry_Int_Tables_number 164
_symmetry_space_group_name_Hall '-P 3 2"'
_cell_length_a 5.9764
_cell_length_b 5.9764
_cell_length_c 9.2146
_cell_angle_alpha 90.00
_cell_angle_beta 90.00
_cell_angle_gamma 120.00
loop_
_atom_site_label
_atom_site_type_symbol
_atom_site_fract_x
_atom_site_fract_y
_atom_site_fract_z
Ac1 Ac 0.0000 0.0000 0.0000
Ac2 Ac 0.3333 0.6667 0.6223
Cd1 Cd 0.3333 0.6667 0.0112
Pd1 Pd 0.1762 0.3524 0.2674
Pb1 Pb 0.0000 0.0000 0.5000
# Calculated formation energy (eV/atom): -0.597
# Size of the total moment (μB/f.u.): 0.00
# Energy (eV per atom): -4.6818
# Calculated volume (Å³ per atom): 23.753

Which value of energy does entry 2 give?
-3.3848 eV per atom

calculated volume of number 1 (Ac3CdPb2)?
35.421 Å³ per atom

energy of number 1 (Ac3CdPb2)?
-3.8221 eV per atom

size of the total moment of number 2 (AcCdPb3)?
0.00 μB/f.u.